Here is a relaxed structure of FeTcSe2 from Alexandria via LeMat-Bulk. Energies are from PBE.

E_tot in eV per atom: -6.136
Formation energy without anion corrections in meV/atom: 314
Space-group type: Cmm2

POSCAR file:
```
FeTcSe2
1.0
1.625 -2.392 0.000
1.625 2.392 0.000
0.000 0.000 9.480
Fe Tc Se
1 1 2
Direct
0.000 0.000 0.000 Fe
0.500 0.500 0.790 Tc
0.000 0.000 0.584 Se
0.500 0.500 0.198 Se
```

Here is a relaxed structure of Li3Ca2Cl7 from Alexandria via LeMat-Bulk. Energies are from PBE.

E_tot in eV per atom: -3.958
Formation energy without anion corrections in meV/atom: -2069
Space-group type: Cmc2_1

POSCAR file:
```
Li3Ca2Cl7
1.0
12.195 -3.426 0.000
12.195 3.426 0.000
0.000 0.000 6.826
Li Ca Cl
6 4 14
Direct
0.086 0.494 0.462 Li
0.230 0.770 0.500 Li
0.494 0.086 0.962 Li
0.506 0.914 0.462 Li
0.770 0.230 0.000 Li
0.914 0.506 0.962 Li
0.139 0.650 0.987 Ca
0.350 0.861 0.987 Ca
0.650 0.139 0.487 Ca
0.861 0.350 0.487 Ca
0.043 0.244 0.144 Cl
0.106 0.894 0.863 Cl
0.165 0.416 0.098 Cl
0.244 0.043 0.644 Cl
0.334 0.522 0.329 Cl
0.416 0.165 0.598 Cl
0.478 0.666 0.329 Cl
0.522 0.334 0.829 Cl
0.584 0.835 0.098 Cl
0.666 0.478 0.829 Cl
0.756 0.957 0.144 Cl
0.835 0.584 0.598 Cl
0.894 0.106 0.363 Cl
0.957 0.756 0.644 Cl
```

Here is a relaxed structure of CuSb2Os from Alexandria via LeMat-Bulk. Energies are from PBE.

E_tot in eV per atom: -5.575
Formation energy without anion corrections in meV/atom: 318
Space-group type: P4mm

POSCAR file:
```
CuSb2Os
1.0
3.280 0.000 0.000
0.000 3.280 0.000
0.000 0.000 7.756
Cu Sb Os
1 2 1
Direct
0.000 0.000 0.000 Cu
0.000 0.000 0.377 Sb
0.500 0.500 0.815 Sb
0.500 0.500 0.181 Os
```

Here is a relaxed structure of Cs2SbSe2 from Alexandria via LeMat-Bulk. Energies are from PBE.

E_tot in eV per atom: -2.923
Formation energy without anion corrections in meV/atom: -363
Space-group type: I4/mmm

POSCAR file:
```
Cs2SbSe2
1.0
-1.967 1.967 11.994
1.967 -1.967 11.994
1.967 1.967 -11.994
Cs Sb Se
2 1 2
Direct
0.119 0.119 0.000 Cs
0.881 0.881 0.000 Cs
0.500 0.500 0.000 Sb
0.250 0.750 0.500 Se
0.750 0.250 0.500 Se
```

Here is a relaxed structure of Sc2Zn15Ag2 from Alexandria via LeMat-Bulk. Energies are from PBE.

E_tot in eV per atom: -2.137
Space-group type: R-3m
Formation enthalpy at 0 K in eV per atom: -0.165

POSCAR file:
```
Sc2Zn15Ag2
1.0
4.473 2.583 4.356
-4.473 2.583 4.356
0.000 -5.165 4.356
Sc Zn Ag
2 15 2
Direct
0.158 0.158 0.158 Sc
0.842 0.842 0.842 Sc
0.000 0.500 0.500 Zn
0.145 0.145 0.665 Zn
0.145 0.665 0.145 Zn
0.197 0.500 0.803 Zn
0.197 0.803 0.500 Zn
0.335 0.855 0.855 Zn
0.500 0.000 0.500 Zn
0.500 0.197 0.803 Zn
0.500 0.500 0.000 Zn
0.500 0.803 0.197 Zn
0.665 0.145 0.145 Zn
0.803 0.197 0.500 Zn
0.803 0.500 0.197 Zn
0.855 0.335 0.855 Zn
0.855 0.855 0.335 Zn
0.391 0.391 0.391 Ag
0.609 0.609 0.609 Ag
```

Here is a relaxed structure of La2PmTm7 from Alexandria via LeMat-Bulk. Energies are from PBE.

E_tot in eV per atom: -4.423
Space-group type: Cmmm
Formation enthalpy at 0 K in eV per atom: 0.168

POSCAR file:
```
La2PmTm7
1.0
3.250 -14.423 0.000
3.250 14.423 0.000
0.000 0.000 3.509
La Pm Tm
2 1 7
Direct
0.207 0.793 0.000 La
0.793 0.207 0.000 La
0.500 0.500 0.500 Pm
0.000 0.000 0.000 Tm
0.156 0.352 0.000 Tm
0.317 0.683 0.500 Tm
0.352 0.156 0.000 Tm
0.648 0.844 0.000 Tm
0.683 0.317 0.500 Tm
0.844 0.648 0.000 Tm
```

Here is a relaxed structure of Mn12Re17 from Alexandria via LeMat-Bulk. Energies are from PBE.

E_tot in eV per atom: -11.171
Space-group type: I-43m
Formation enthalpy at 0 K in eV per atom: -0.080

POSCAR file:
```
Mn12Re17
1.0
-4.584 4.584 4.584
4.584 -4.584 4.584
4.584 4.584 -4.584
Mn Re
12 17
Direct
0.000 0.186 0.359 Mn
0.000 0.359 0.186 Mn
0.173 0.814 0.814 Mn
0.186 0.000 0.359 Mn
0.186 0.359 0.000 Mn
0.359 0.000 0.186 Mn
0.359 0.186 0.000 Mn
0.641 0.641 0.827 Mn
0.641 0.827 0.641 Mn
0.814 0.173 0.814 Mn
0.814 0.814 0.173 Mn
0.827 0.641 0.641 Mn
0.000 0.000 0.000 Re
0.000 0.000 0.639 Re
0.000 0.389 0.682 Re
0.000 0.639 0.000 Re
0.000 0.682 0.389 Re
0.292 0.611 0.611 Re
0.318 0.318 0.708 Re
0.318 0.708 0.318 Re
0.361 0.361 0.361 Re
0.389 0.000 0.682 Re
0.389 0.682 0.000 Re
0.611 0.292 0.611 Re
0.611 0.611 0.292 Re
0.639 0.000 0.000 Re
0.682 0.000 0.389 Re
0.682 0.389 0.000 Re
0.708 0.318 0.318 Re
```

Here is a relaxed structure of Sm2HoCd from Alexandria via LeMat-Bulk. Energies are from PBE.

E_tot in eV per atom: -3.871
Space-group type: P4/mmm
Formation enthalpy at 0 K in eV per atom: -0.138

POSCAR file:
```
Sm2HoCd
1.0
3.637 0.000 0.000
0.000 3.637 0.000
0.000 0.000 9.132
Sm Ho Cd
2 1 1
Direct
0.000 0.000 0.229 Sm
0.000 0.000 0.771 Sm
0.500 0.500 0.500 Ho
0.500 0.500 0.000 Cd
```